Record 1
VASP calculation (PBEsol) on SiNi3H after structural relaxation.

Output
* VASP energy: -29.56 eV per formula unit

```
data_SiNi3H
_chemical_formula_sum 'Si1 Ni3 H1'
_symmetry_space_group_name_H-M 'P m -3 m'
_symmetry_Int_Tables_number 221
_symmetry_space_group_name_Hall '-P 4 2 3'
_cell_length_a 3.5260
_cell_length_b 3.5260
_cell_length_c 3.5260
_cell_angle_alpha 90.00
_cell_angle_beta 90.00
_cell_angle_gamma 90.00
loop_
_atom_site_label
_atom_site_fract_x
_atom_site_fract_y
_atom_site_fract_z
Si1 0.0000 0.0000 0.0000
Ni1 0.0000 0.5000 0.5000
H1 0.5000 0.5000 0.5000
```

Record 2
VASP calculation (PBEsol) on Zr2TeCl after structural relaxation.

Output
* E above lowest polymorph: 0 meV/atom
* formation energy from raw total energies: -303 kJ/mol of formula units
* VASP energy: -26.85 eV per formula unit

```
data_Zr2TeCl
_chemical_formula_sum 'Zr4 Te2 Cl2'
_symmetry_space_group_name_H-M 'C m m 2'
_symmetry_Int_Tables_number 35
_cell_length_a 3.8424
_cell_length_b 5.2195
_cell_length_c 9.5593
_cell_angle_alpha 90.00
_cell_angle_beta 90.00
_cell_angle_gamma 90.00
loop_
_symmetry_equiv_pos_as_xyz
'x,y,z'
'-x,-y,z'
'-x,y,z'
'x,-y,z'
'x+1/2,y+1/2,z'
'-x+1/2,-y+1/2,z'
'-x+1/2,y+1/2,z'
'x+1/2,-y+1/2,z'
loop_
_atom_site_label
_atom_site_fract_x
_atom_site_fract_y
_atom_site_fract_z
Zr1 0.0000 0.0000 0.0000
Zr2 0.0000 0.5000 0.2451
Te1 0.0000 0.0000 0.4617
Cl1 0.0000 0.5000 0.8177
```

Record 3
VASP calculation (PBEsol) on KMn2Ag after structural relaxation.

Output
* E above lowest polymorph: 305 meV/atom
* ΔE_f: 1.17 eV per atom
* VASP energy: -19.27 eV per formula unit

```
data_KMn2Ag
_chemical_formula_sum 'K2 Mn4 Ag2'
_symmetry_space_group_name_H-M 'I -4 m 2'
_symmetry_Int_Tables_number 119
_symmetry_space_group_name_Hall 'I -4 -2'
_cell_length_a 4.2589
_cell_length_b 4.2589
_cell_length_c 8.8463
_cell_angle_alpha 90.00
_cell_angle_beta 90.00
_cell_angle_gamma 90.00
loop_
_atom_site_label
_atom_site_fract_x
_atom_site_fract_y
_atom_site_fract_z
K1 0.0000 0.0000 0.0000
Mn1 0.0000 0.0000 0.5000
Mn2 0.0000 0.5000 0.2500
Ag1 0.0000 0.5000 0.7500
```

Record 4
VASP calculation (PBEsol) on ZnTe2Au2 after structural relaxation.

Output
* formation energy from raw total energies: 55 kJ/mol of formula units
* VASP energy: -15.91 eV per formula unit

```
data_ZnTe2Au2
_chemical_formula_sum 'Zn2 Te4 Au4'
_symmetry_space_group_name_H-M 'I 4/m m m'
_symmetry_Int_Tables_number 139
_symmetry_space_group_name_Hall '-I 4 2'
_cell_length_a 5.4826
_cell_length_b 5.4826
_cell_length_c 7.8062
_cell_angle_alpha 90.00
_cell_angle_beta 90.00
_cell_angle_gamma 90.00
loop_
_atom_site_label
_atom_site_fract_x
_atom_site_fract_y
_atom_site_fract_z
Zn1 0.0000 0.0000 0.0000
Te1 0.0000 0.5000 0.2500
Au1 0.0000 0.0000 0.3224
```

Record 5
VASP calculation (PBEsol) on ReC after structural relaxation.

Output
* E above lowest polymorph: 210 meV/atom
* ΔE_f: 0.88 eV per atom
* VASP energy: -21.22 eV per formula unit

```
data_ReC
_chemical_formula_sum 'Re4 C4'
_symmetry_space_group_name_H-M 'F m -3 m'
_symmetry_Int_Tables_number 225
_symmetry_space_group_name_Hall '-F 4 2 3'
_cell_length_a 4.3247
_cell_length_b 4.3247
_cell_length_c 4.3247
_cell_angle_alpha 90.00
_cell_angle_beta 90.00
_cell_angle_gamma 90.00
loop_
_atom_site_label
_atom_site_fract_x
_atom_site_fract_y
_atom_site_fract_z
Re1 0.0000 0.0000 0.0000
C1 0.0000 0.0000 0.5000
```

Record 6
VASP calculation (PBEsol) on MoAuSN2 after structural relaxation.

Output
* formation energy from raw total energies: 917 kJ/mol of formula units
* VASP energy: -27.63 eV per formula unit

```
data_MoAuSN2
_chemical_formula_sum 'Mo1 Au1 S1 N2'
_symmetry_space_group_name_H-M 'P 4/m m m'
_symmetry_Int_Tables_number 123
_symmetry_space_group_name_Hall '-P 4 2'
_cell_length_a 3.9330
_cell_length_b 3.9330
_cell_length_c 4.8354
_cell_angle_alpha 90.00
_cell_angle_beta 90.00
_cell_angle_gamma 90.00
loop_
_atom_site_label
_atom_site_fract_x
_atom_site_fract_y
_atom_site_fract_z
Mo1 0.0000 0.0000 0.0000
Au1 0.5000 0.5000 0.5000
S1 0.5000 0.5000 0.0000
N1 0.0000 0.5000 0.5000
```

Record 7
VASP calculation (PBEsol) on BaMoO3 after structural relaxation.

Output
* formation energy from raw total energies: -1183 kJ/mol of formula units
* VASP energy: -41.93 eV per formula unit

```
data_BaMoO3
_chemical_formula_sum 'Ba1 Mo1 O3'
_symmetry_space_group_name_H-M 'P m -3 m'
_symmetry_Int_Tables_number 221
_symmetry_space_group_name_Hall '-P 4 2 3'
_cell_length_a 4.0205
_cell_length_b 4.0205
_cell_length_c 4.0205
_cell_angle_alpha 90.00
_cell_angle_beta 90.00
_cell_angle_gamma 90.00
loop_
_atom_site_label
_atom_site_fract_x
_atom_site_fract_y
_atom_site_fract_z
Ba1 0.0000 0.0000 0.0000
Mo1 0.5000 0.5000 0.5000
O1 0.0000 0.5000 0.5000
```

Record 8
VASP calculation (PBEsol) on TlTc2Pt after structural relaxation.

Output
* E above lowest polymorph: 248 meV/atom
* ΔE_f: 0.42 eV per atom
* VASP energy: -30.45 eV per formula unit

```
data_TlTc2Pt
_chemical_formula_sum 'Tl1 Tc2 Pt1'
_symmetry_space_group_name_H-M 'P m m m'
_symmetry_Int_Tables_number 47
_cell_length_a 2.8147
_cell_length_b 4.1143
_cell_length_c 5.6936
_cell_angle_alpha 90.00
_cell_angle_beta 90.00
_cell_angle_gamma 90.00
loop_
_symmetry_equiv_pos_as_xyz
'x,y,z'
'-x,-y,-z'
'-x,-y,z'
'x,y,-z'
'x,-y,-z'
'-x,y,z'
'-x,y,-z'
'x,-y,z'
loop_
_atom_site_label
_atom_site_fract_x
_atom_site_fract_y
_atom_site_fract_z
Tl1 0.0000 0.0000 0.0000
Tc1 0.5000 0.5000 0.2963
Pt1 0.0000 0.0000 0.5000
```

Record 9
VASP calculation (PBEsol) on ZnIn7 after structural relaxation.

Output
* ΔE_f: 0.05 eV per atom
* VASP energy: -22.03 eV per formula unit

```
data_ZnIn7
_chemical_formula_sum 'Zn4 In28'
_symmetry_space_group_name_H-M 'F m -3 m'
_symmetry_Int_Tables_number 225
_symmetry_space_group_name_Hall '-F 4 2 3'
_cell_length_a 9.1751
_cell_length_b 9.1751
_cell_length_c 9.1751
_cell_angle_alpha 90.00
_cell_angle_beta 90.00
_cell_angle_gamma 90.00
loop_
_atom_site_label
_atom_site_fract_x
_atom_site_fract_y
_atom_site_fract_z
Zn1 0.0000 0.0000 0.0000
In1 0.0000 0.0000 0.5000
In2 0.0000 0.2500 0.2500
```

Record 10
VASP calculation (PBEsol) on AlGa2CuW after structural relaxation.

Output
* ΔE_f: 1.02 eV per atom
* VASP energy: -23.80 eV per formula unit

```
data_AlGa2CuW
_chemical_formula_sum 'Al1 Ga2 Cu1 W1'
_symmetry_space_group_name_H-M 'P 4/m m m'
_symmetry_Int_Tables_number 123
_symmetry_space_group_name_Hall '-P 4 2'
_cell_length_a 4.3873
_cell_length_b 4.3873
_cell_length_c 4.4327
_cell_angle_alpha 90.00
_cell_angle_beta 90.00
_cell_angle_gamma 90.00
loop_
_atom_site_label
_atom_site_fract_x
_atom_site_fract_y
_atom_site_fract_z
Al1 0.0000 0.0000 0.0000
Ga1 0.0000 0.5000 0.5000
Cu1 0.0000 0.0000 0.5000
W1 0.5000 0.5000 0.0000
```

Record 11
VASP calculation (PBEsol) on LiAu5 after structural relaxation.

Output
* E above lowest polymorph: 75 meV/atom
* ΔE_f: -0.16 eV per atom
* VASP energy: -22.57 eV per formula unit

```
data_LiAu5
_chemical_formula_sum 'Li1 Au5'
_symmetry_space_group_name_H-M 'P 4/m m m'
_symmetry_Int_Tables_number 123
_symmetry_space_group_name_Hall '-P 4 2'
_cell_length_a 2.8394
_cell_length_b 2.8394
_cell_length_c 12.0750
_cell_angle_alpha 90.00
_cell_angle_beta 90.00
_cell_angle_gamma 90.00
loop_
_atom_site_label
_atom_site_fract_x
_atom_site_fract_y
_atom_site_fract_z
Li1 0.0000 0.0000 0.0000
Au1 0.0000 0.0000 0.3269
Au2 0.5000 0.5000 0.1509
Au3 0.5000 0.5000 0.5000
```

Record 12
VASP calculation (PBEsol) on CrCd2Re after structural relaxation.

Output
* ΔE_f: 0.34 eV per atom
* VASP energy: -24.60 eV per formula unit

```
data_CrCd2Re
_chemical_formula_sum 'Cr3 Cd6 Re3'
_symmetry_space_group_name_H-M 'R 3 m'
_symmetry_Int_Tables_number 160
_symmetry_space_group_name_Hall 'R 3 -2"'
_cell_length_a 2.8684
_cell_length_b 2.8684
_cell_length_c 27.8489
_cell_angle_alpha 90.00
_cell_angle_beta 90.00
_cell_angle_gamma 120.00
loop_
_atom_site_label
_atom_site_fract_x
_atom_site_fract_y
_atom_site_fract_z
Cr1 0.0000 0.0000 0.0000
Cd1 0.0000 0.0000 0.5146
Cd2 0.0000 0.0000 0.7512
Re1 0.0000 0.0000 0.2714
```